DFT (PBE) results for an optimized crystal structure of Cr2AsAu2.

Space-group type: P4/mbm (127)
ΔH_f (0 K) (meV/atom): 202

a = 6.057 Å, b = 6.057 Å, c = 4.320 Å
α = 90.00°, β = 90.00°, γ = 90.00°
Sites, in units of the cell vectors:
Cr (0.119, 0.381, 0.000)
Cr (0.381, 0.881, 0.000)
Cr (0.619, 0.119, 0.000)
Cr (0.881, 0.619, 0.000)
As (0.000, 0.000, 0.000)
As (0.500, 0.500, 0.000)
Au (0.174, 0.674, 0.500)
Au (0.326, 0.174, 0.500)
Au (0.674, 0.826, 0.500)
Au (0.826, 0.326, 0.500)

=====

DFT (PBE) results for an optimized crystal structure of LaMnSi2.

Space-group type: R-3m (166)
ΔE_f (raw) (eV per atom): -0.52

a = 5.838 Å, b = 5.838 Å, c = 5.838 Å
α = 40.89°, β = 40.89°, γ = 40.89°
Sites, in units of the cell vectors:
La (0.000, 0.000, 0.000)
Mn (0.500, 0.500, 0.500)
Si (0.208, 0.208, 0.208)
Si (0.792, 0.792, 0.792)

=====

DFT (PBE) results for an optimized crystal structure of YFeSb2.

Space-group type: P4mm (99)
ΔE_f (raw) (eV per atom): -0.13

a = 3.677 Å, b = 3.677 Å, c = 6.711 Å
α = 90.00°, β = 90.00°, γ = 90.00°
Sites, in units of the cell vectors:
Y (0.000, 0.000, 0.000)
Fe (0.500, 0.500, 0.314)
Sb (0.000, 0.000, 0.452)
Sb (0.500, 0.500, 0.741)

=====

DFT (PBE) results for an optimized crystal structure of LiLa2HgF.

Space-group type: P4/mmm (123)
ΔE_f (raw) (eV per atom): -0.75
Polymorph energy (0 for the lowest one) (eV per atom): 0.485

a = 6.071 Å, b = 6.071 Å, c = 3.427 Å
α = 90.00°, β = 90.00°, γ = 90.00°
Sites, in units of the cell vectors:
Li (0.000, 0.000, 0.000)
La (0.000, 0.500, 0.000)
La (0.500, 0.000, 0.000)
Hg (0.500, 0.500, 0.500)
F (0.000, 0.000, 0.500)

=====

DFT (PBE) results for an optimized crystal structure of ZnMoAs.

Space-group type: Fmm2 (42)
ΔH_f (0 K) (meV/atom): 251
Polymorph energy (0 for the lowest one) (eV per atom): 0.260

a = 7.100 Å, b = 6.919 Å, c = 2.872 Å
α = 81.72°, β = 74.68°, γ = 23.60°
Sites, in units of the cell vectors:
Zn (0.000, 0.000, 0.000)
Mo (0.654, 0.654, 0.346)
As (0.295, 0.295, 0.705)

=====

DFT (PBE) results for an optimized crystal structure of La2TlTeO8.

Space-group type: P-1 (2)
ΔE_f (raw) (eV per atom): -1.88

a = 4.955 Å, b = 4.980 Å, c = 7.651 Å
α = 91.62°, β = 91.63°, γ = 94.50°
Sites, in units of the cell vectors:
La (0.049, 0.047, 0.258)
La (0.951, 0.953, 0.742)
Tl (0.500, 0.500, 0.000)
Te (0.500, 0.500, 0.500)
O (0.202, 0.202, 0.979)
O (0.217, 0.221, 0.542)
O (0.272, 0.625, 0.310)
O (0.376, 0.732, 0.688)
O (0.624, 0.268, 0.312)
O (0.728, 0.375, 0.690)
O (0.783, 0.779, 0.458)
O (0.798, 0.798, 0.021)

=====

Repeat the first record exactly.
DFT (PBE) results for an optimized crystal structure of Cr2AsAu2.

Space-group type: P4/mbm (127)
ΔH_f (0 K) (meV/atom): 202

a = 6.057 Å, b = 6.057 Å, c = 4.320 Å
α = 90.00°, β = 90.00°, γ = 90.00°
Sites, in units of the cell vectors:
Cr (0.119, 0.381, 0.000)
Cr (0.381, 0.881, 0.000)
Cr (0.619, 0.119, 0.000)
Cr (0.881, 0.619, 0.000)
As (0.000, 0.000, 0.000)
As (0.500, 0.500, 0.000)
Au (0.174, 0.674, 0.500)
Au (0.326, 0.174, 0.500)
Au (0.674, 0.826, 0.500)
Au (0.826, 0.326, 0.500)

=====

Q: What is the formula in the first record?
A: Cr2AsAu2